La2ZrSi | PBE | relaxed

Results
Raw formation energy   2.03 kcal/mol of atoms

```
La2ZrSi
1.0
1.800 1.039 10.121
-1.800 1.039 10.121
0.000 -2.079 10.121
La Zr Si
2 1 1
Direct
0.241 0.241 0.241 La
0.759 0.759 0.759 La
0.000 0.000 0.000 Zr
0.500 0.500 0.500 Si
```

LaZrSi2 | PBE | relaxed

Results
Raw formation energy   -8.38 kcal/mol of atoms
Energy above the lowest structure with this stoichiometry   22.1 kJ per mole of atoms

```
LaZrSi2
1.0
-2.285 2.285 4.013
2.285 -2.285 4.013
2.285 2.285 -4.013
La Zr Si
1 1 2
Direct
0.000 0.000 0.000 La
0.500 0.500 0.000 Zr
0.250 0.750 0.500 Si
0.750 0.250 0.500 Si
```

LaZr2Si | PBE | relaxed

Results
Raw formation energy   -3.60 kcal/mol of atoms

```
LaZr2Si
1.0
1.834 1.059 8.575
-1.834 1.059 8.575
0.000 -2.118 8.575
La Zr Si
1 2 1
Direct
0.000 0.000 0.000 La
0.228 0.228 0.228 Zr
0.772 0.772 0.772 Zr
0.500 0.500 0.500 Si
```

LaZrSi | PBE | relaxed

Results
Raw formation energy   18.42 kcal/mol of atoms
Energy above the lowest structure with this stoichiometry   134.1 kJ per mole of atoms

```
LaZrSi
1.0
0.000 3.492 3.492
3.492 0.000 3.492
3.492 3.492 0.000
La Zr Si
1 1 1
Direct
0.000 0.000 0.000 La
0.750 0.750 0.750 Zr
0.250 0.250 0.250 Si
```

LaZrSi2 | PBE | relaxed

Results
Raw formation energy   -1.35 kcal/mol of atoms
Energy above the lowest structure with this stoichiometry   51.6 kJ per mole of atoms

```
LaZrSi2
1.0
-2.429 2.429 9.068
2.429 -2.429 9.068
2.429 2.429 -9.068
La Zr Si
2 2 4
Direct
0.000 0.000 0.000 La
0.750 0.250 0.500 La
0.250 0.750 0.500 Zr
0.500 0.500 0.000 Zr
0.297 0.625 0.172 Si
0.375 0.547 0.672 Si
0.453 0.125 0.828 Si
0.875 0.703 0.328 Si
```

LaZrSi2 | PBE | relaxed

Results
Raw formation energy   -12.85 kcal/mol of atoms
Energy above the lowest structure with this stoichiometry   3.5 kJ per mole of atoms

```
LaZrSi2
1.0
1.981 1.144 7.026
-1.981 1.144 7.026
0.000 -2.288 7.026
La Zr Si
1 1 2
Direct
0.000 0.000 0.000 La
0.500 0.500 0.500 Zr
0.238 0.238 0.238 Si
0.762 0.762 0.762 Si
```